## Sr2Sn4Pd9 (GGA-PBE)

Data for a geometry-optimized Sr2Sn4Pd9 structure.

Calculated values
D(E_F) ... 6.0 states/eV/f.u.
Energy relative to the elements ... -0.5658 eV per atom

Unit cell a=4.5570 b=4.5570 c=17.3873 alpha=90.00 beta=90.00 gamma=120.00
Closest atoms and distances in Å follow each position.
Element x y z (fractional)
Pd (0.0000, 0.0000, 0.5000)  8 Pd 2.69-2.84
Pd (0.0000, 0.0000, 0.1283)  3 Sn 2.67, 3 Pd 2.95
Pd (0.3333, 0.6667, 0.9482)  4 Sn 2.66-2.77, 3 Pd 2.95
Pd (0.0000, 0.0000, 0.3450)  1 Pd 2.69, 3 Sn 2.79
Pd (0.3333, 0.6667, 0.5622)  4 Sn 2.72-2.85, 3 Pd 2.84
Pd (0.6667, 0.3333, 0.0518)  4 Sn 2.66-2.77, 3 Pd 2.95
Pd (0.0000, 0.0000, 0.6550)  1 Pd 2.69, 3 Sn 2.79
Pd (0.0000, 0.0000, 0.8717)  3 Sn 2.67, 3 Pd 2.95
Pd (0.6667, 0.3333, 0.4378)  4 Sn 2.72-2.85, 3 Pd 2.84
Sn (0.6667, 0.3333, 0.8988)  7 Pd 2.66-2.77
Sn (0.6667, 0.3333, 0.6018)  7 Pd 2.72-2.85
Sn (0.3333, 0.6667, 0.3982)  7 Pd 2.72-2.85
Sn (0.3333, 0.6667, 0.1012)  7 Pd 2.66-2.77
Sr (0.6667, 0.3333, 0.2448)  8 Pd 3.16-3.36
Sr (0.3333, 0.6667, 0.7552)  8 Pd 3.16-3.36